[1]
Below is a relaxed structure of SmTh3Pt4, with properties calculated at the PBE level.

Values from the calculation:
* symmetry: No. 13
* formation enthalpy at 0 K: -9.54 eV/f.u.
* DOS at the Fermi energy: 0.45 states/eV per atom

a = 7.190 Å, b = 7.248 Å, c = 8.481 Å
α = 90.00°, β = 90.00°, γ = 110.01°
Fractional positions:
Pt 0.002 0.251 0.623
Pt 0.499 0.254 0.873
Pt 0.502 0.251 0.377
Pt 0.999 0.254 0.127
Pt 0.001 0.746 0.873
Pt 0.498 0.749 0.623
Pt 0.501 0.746 0.127
Pt 0.998 0.749 0.377
Th 0.750 0.000 0.374
Th 0.250 0.000 0.626
Th 0.750 0.500 0.625
Th 0.750 0.500 0.125
Th 0.250 0.500 0.375
Th 0.250 0.500 0.875
Sm 0.750 0.000 0.875
Sm 0.250 0.000 0.125



[2]
Below is a relaxed structure of SmThPt10, with properties calculated at the PBE level.

Values from the calculation:
* symmetry: No. 47
* formation enthalpy at 0 K: -9.13 eV/f.u.
* DOS at the Fermi energy: 0.89 states/eV per atom

a = 4.455 Å, b = 5.413 Å, c = 9.327 Å
α = 90.00°, β = 90.00°, γ = 90.00°
Fractional positions:
Sm 0.000 0.500 0.500
Th 0.000 0.000 0.000
Pt 0.000 0.000 0.332
Pt 0.000 0.500 0.833
Pt 0.000 0.500 0.167
Pt 0.000 0.000 0.668
Pt 0.500 0.000 0.500
Pt 0.500 0.500 0.000
Pt 0.500 0.248 0.249
Pt 0.500 0.752 0.751
Pt 0.500 0.752 0.249
Pt 0.500 0.248 0.751



[3]
Below is a relaxed structure of SmThPt, with properties calculated at the PBE level.

Values from the calculation:
* symmetry: No. 216
* formation enthalpy at 0 K: -1.84 eV/f.u.
* DOS at the Fermi energy: 1.28 states/eV per atom

a = 4.995 Å, b = 4.995 Å, c = 4.995 Å
α = 60.00°, β = 60.00°, γ = 60.00°
Fractional positions:
Sm 0.000 0.000 0.000
Pt 0.250 0.250 0.250
Th 0.500 0.500 0.500



[4]
Below is a relaxed structure of Sm2ThPt, with properties calculated at the PBE level.

Values from the calculation:
* symmetry: No. 123
* formation enthalpy at 0 K: -2.05 eV/f.u.
* DOS at the Fermi energy: 1.24 states/eV per atom

a = 3.625 Å, b = 3.625 Å, c = 8.423 Å
α = 90.00°, β = 90.00°, γ = 90.00°
Fractional positions:
Sm 0.000 0.000 0.799
Sm 0.000 0.000 0.201
Pt 0.500 0.500 0.000
Th 0.500 0.500 0.500



[5]
Below is a relaxed structure of SmThPt2, with properties calculated at the PBE level.

Values from the calculation:
* symmetry: No. 6
* formation enthalpy at 0 K: -4.93 eV/f.u.
* DOS at the Fermi energy: 0.71 states/eV per atom

a = 3.862 Å, b = 4.505 Å, c = 5.860 Å
α = 90.00°, β = 109.21°, γ = 90.00°
Fractional positions:
Sm 0.445 0.500 0.427
Th 0.717 0.000 0.975
Pt 0.177 0.500 0.894
Pt 0.992 0.000 0.521



[6]
Below is a relaxed structure of SmTh2Pt4, with properties calculated at the PBE level.

Values from the calculation:
* symmetry: No. 122
* formation enthalpy at 0 K: -8.26 eV/f.u.
* DOS at the Fermi energy: 0.70 states/eV per atom

a = 7.530 Å, b = 7.530 Å, c = 7.530 Å
α = 109.19°, β = 109.19°, γ = 110.03°
Fractional positions:
Sm 0.250 0.750 0.500
Sm 0.000 0.000 0.000
Th 0.625 0.503 0.378
Th 0.125 0.247 0.622
Th 0.753 0.375 0.878
Th 0.497 0.875 0.122
Pt 0.709 0.963 0.582
Pt 0.541 0.624 0.754
Pt 0.380 0.126 0.418
Pt 0.874 0.291 0.254
Pt 0.037 0.620 0.746
Pt 0.870 0.787 0.246
Pt 0.213 0.459 0.082
Pt 0.376 0.130 0.918



[7]
Below is a relaxed structure of SmTh2Pt9, with properties calculated at the PBE level.

Values from the calculation:
* symmetry: No. 123
* formation enthalpy at 0 K: -12.93 eV/f.u.
* DOS at the Fermi energy: 0.15 states/eV per atom

a = 4.217 Å, b = 4.217 Å, c = 12.623 Å
α = 90.00°, β = 90.00°, γ = 90.00°
Fractional positions:
Sm 0.000 0.000 0.000
Th 0.000 0.000 0.330
Th 0.000 0.000 0.670
Pt 0.500 0.500 0.000
Pt 0.500 0.500 0.333
Pt 0.500 0.500 0.667
Pt 0.500 0.000 0.166
Pt 0.500 0.000 0.500
Pt 0.500 0.000 0.834
Pt 0.000 0.500 0.166
Pt 0.000 0.500 0.500
Pt 0.000 0.500 0.834



[8]
Below is a relaxed structure of Sm3ThPt4, with properties calculated at the PBE level.

Values from the calculation:
* symmetry: No. 13
* formation enthalpy at 0 K: -9.15 eV/f.u.
* DOS at the Fermi energy: 0.33 states/eV per atom

a = 7.204 Å, b = 7.221 Å, c = 8.322 Å
α = 90.00°, β = 90.00°, γ = 109.53°
Fractional positions:
Pt 0.997 0.248 0.628
Pt 0.501 0.246 0.878
Pt 0.497 0.248 0.372
Pt 0.001 0.246 0.122
Pt 0.999 0.754 0.878
Pt 0.503 0.752 0.628
Pt 0.499 0.754 0.122
Pt 0.003 0.752 0.372
Th 0.750 0.000 0.874
Th 0.250 0.000 0.126
Sm 0.750 0.000 0.376
Sm 0.250 0.000 0.624
Sm 0.750 0.500 0.623
Sm 0.750 0.500 0.126
Sm 0.250 0.500 0.377
Sm 0.250 0.500 0.874



- Among the records above, which one has the lowest formation enthalpy at 0 K?
  SmTh2Pt9



What did the first record say?
Below is a relaxed structure of SmTh3Pt4, with properties calculated at the PBE level.

Values from the calculation:
* symmetry: No. 13
* formation enthalpy at 0 K: -9.54 eV/f.u.
* DOS at the Fermi energy: 0.45 states/eV per atom

a = 7.190 Å, b = 7.248 Å, c = 8.481 Å
α = 90.00°, β = 90.00°, γ = 110.01°
Fractional positions:
Pt 0.002 0.251 0.623
Pt 0.499 0.254 0.873
Pt 0.502 0.251 0.377
Pt 0.999 0.254 0.127
Pt 0.001 0.746 0.873
Pt 0.498 0.749 0.623
Pt 0.501 0.746 0.127
Pt 0.998 0.749 0.377
Th 0.750 0.000 0.374
Th 0.250 0.000 0.626
Th 0.750 0.500 0.625
Th 0.750 0.500 0.125
Th 0.250 0.500 0.375
Th 0.250 0.500 0.875
Sm 0.750 0.000 0.875
Sm 0.250 0.000 0.125